Below is a geometry-optimized ScHg6 structure, with properties calculated at the GGA-PBE level.

Cell lengths 6.979, 6.979, 6.979 Å; angles 109.47, 109.47, 109.47 degrees
Site moments in Bohr magnetons follow the coordinates.
Element x y z (fractional)
Sc: 0.000 0.000 0.000  0.99
Hg: 0.250 0.750 0.500  0.00
Hg: 0.500 0.750 0.250  0.00
Hg: 0.250 0.500 0.750  0.00
Hg: 0.750 0.250 0.500  0.00
Hg: 0.500 0.250 0.750  0.00
Hg: 0.750 0.500 0.250  0.00

Summary:
- energy of formation (meV per atom) = 535
- spin magnetization (μB per formula unit) = 1.48
- total energy (eV/atom) = -0.63